No. 1
VASP calculation (PBE-GGA) on a relaxed Na2In3Au2O crystal.

Lattice parameters (Å, degrees): 6.449 6.449 7.650 93.39 93.39 39.36
Sites, in units of the cell vectors:
Au 0.253 0.253 0.734
Au 0.652 0.652 0.272
Na 0.419 0.419 0.083
In 0.087 0.087 0.462
In 0.885 0.885 0.685
O 0.982 0.982 0.941
In 0.150 0.150 0.050
Na 0.573 0.573 0.773

The calculation puts the raw total energy at -3.24 eV per atom. Its space group is Cm (8).

---

No. 2
VASP calculation (PBE-GGA) on a relaxed NaInAuO crystal.

Lattice parameters (Å, degrees): 6.418 6.418 6.035 101.17 101.17 41.51
Sites, in units of the cell vectors:
Na 0.628 0.628 0.821
Au 0.704 0.704 0.383
In 0.906 0.906 0.776
In 0.094 0.094 0.224
Na 0.372 0.372 0.179
Au 0.296 0.296 0.617
O 0.913 0.913 0.139
O 0.087 0.087 0.861

The calculation puts the raw total energy at -3.89 eV per atom. Its space group is C2/m (12).

---

No. 3
VASP calculation (PBE-GGA) on a relaxed Na4InPbAu2 crystal.

Lattice parameters (Å, degrees): 5.018 5.018 7.112 90.00 90.00 90.00
Sites, in units of the cell vectors:
Pb 0.500 0.500 0.500
Na 0.000 0.000 0.500
In 0.000 0.000 0.000
Au 0.500 0.000 0.236
Na 0.000 0.500 0.246
Au 0.000 0.500 0.764
Na 0.500 0.500 0.000
Na 0.500 0.000 0.754

The calculation puts the raw total energy at -2.52 eV per atom. Its space group is P-4m2 (115).

---

No. 4
VASP calculation (PBE-GGA) on a relaxed Na4In2PdAu crystal.

Lattice parameters (Å, degrees): 4.911 4.911 6.955 90.00 90.00 90.00
Sites, in units of the cell vectors:
Au 0.500 0.500 0.000
In 0.000 0.500 0.740
Na 0.000 0.000 0.000
In 0.500 0.000 0.260
Pd 0.000 0.000 0.500
Na 0.500 0.000 0.749
Na 0.500 0.500 0.500
Na 0.000 0.500 0.251

The calculation puts the raw total energy at -2.61 eV per atom. Its space group is P-4m2 (115).